[1]
Below is a relaxed structure of ErNi2H, with properties calculated at the PBE level.

Lattice parameters (Å, degrees): 2.956 2.956 7.150 78.07 78.07 60.00
Atoms (fractional coordinates):
H1 0.500 0.500 0.500
Ni1 0.877 0.877 0.370
Ni2 0.123 0.123 0.630
Er1 0.000 0.000 0.000

Output
* space-group type: No. 166
* energy: -17.9 eV per cell

[2]
Below is a relaxed structure of Er4Ni2H, with properties calculated at the PBE level.

Lattice parameters (Å, degrees): 4.619 4.619 7.429 108.11 108.11 90.00
Atoms (fractional coordinates):
H1 0.000 0.000 0.000
Ni1 0.615 0.615 0.230
Er1 0.500 0.000 0.000
Ni2 0.385 0.385 0.770
Er2 0.807 0.807 0.614
Er3 0.000 0.500 0.000
Er4 0.193 0.193 0.386

Output
* space-group type: No. 139
* energy: -35.1 eV per cell

[3]
Below is a relaxed structure of Er3Ni5H12, with properties calculated at the PBE level.

Lattice parameters (Å, degrees): 9.666 9.666 9.666 109.47 109.47 109.47
Atoms (fractional coordinates):
H1 0.917 0.095 0.608
H2 0.191 0.678 0.083
Ni1 0.875 0.625 0.750
Ni2 0.000 0.000 0.500
Er1 0.750 0.875 0.625
H3 0.691 0.583 0.178
H4 0.583 0.691 0.678
H5 0.487 0.678 0.095
H6 0.095 0.178 0.487
Er2 0.250 0.625 0.875
Ni3 0.125 0.375 0.250
H7 0.322 0.513 0.405
Er3 0.375 0.625 0.250
H8 0.322 0.809 0.417
H9 0.095 0.917 0.108
Er4 0.875 0.750 0.125
Er5 0.625 0.250 0.375
H10 0.392 0.405 0.083
Er6 0.125 0.250 0.875
H11 0.905 0.822 0.513
H12 0.309 0.417 0.822
Er7 0.250 0.125 0.375
H13 0.595 0.608 0.417
H14 0.513 0.191 0.108
Ni4 0.625 0.750 0.875
H15 0.405 0.013 0.322
Er8 0.375 0.750 0.625
H16 0.822 0.905 0.013
H17 0.487 0.809 0.892
Ni5 0.000 0.000 0.000
Ni6 0.625 0.875 0.250
Er9 0.875 0.125 0.250
H18 0.892 0.309 0.487
Ni7 0.500 0.500 0.500
H19 0.678 0.487 0.595
Ni8 0.000 0.500 0.500
H20 0.987 0.392 0.309
H21 0.191 0.513 0.608
Er10 0.625 0.375 0.750
H22 0.987 0.595 0.178
H23 0.178 0.083 0.691
H24 0.405 0.392 0.583
H25 0.513 0.322 0.905
H26 0.178 0.095 0.987
H27 0.108 0.691 0.513
H28 0.608 0.013 0.191
H29 0.905 0.083 0.892
Ni9 0.750 0.125 0.875
Ni10 0.500 0.000 0.500
Ni11 0.375 0.250 0.125
Ni12 0.250 0.375 0.625
Ni13 0.250 0.875 0.125
H30 0.892 0.583 0.905
H31 0.309 0.892 0.987
Er11 0.125 0.875 0.750
H32 0.595 0.987 0.678
Ni14 0.500 0.500 0.000
H33 0.917 0.822 0.809
Ni15 0.500 0.000 0.000
H34 0.108 0.417 0.095
H35 0.608 0.595 0.917
H36 0.013 0.608 0.691
Ni16 0.375 0.125 0.750
H37 0.809 0.322 0.917
Ni17 0.125 0.750 0.375
H38 0.678 0.191 0.583
H39 0.417 0.309 0.322
H40 0.417 0.108 0.595
H41 0.583 0.892 0.405
H42 0.013 0.405 0.822
Ni18 0.000 0.500 0.000
Ni19 0.875 0.250 0.625
H43 0.083 0.905 0.392
H44 0.809 0.487 0.392
Er12 0.750 0.375 0.125
H45 0.691 0.108 0.013
H46 0.822 0.917 0.309
Ni20 0.750 0.625 0.375
H47 0.083 0.178 0.191
H48 0.392 0.987 0.809

Output
* space-group type: No. 230
* energy: -354.4 eV per cell

[4]
Below is a relaxed structure of Er2NiH, with properties calculated at the PBE level.

Lattice parameters (Å, degrees): 3.205 3.205 6.806 90.00 90.00 90.00
Atoms (fractional coordinates):
Er1 0.000 0.000 0.750
Er2 0.000 0.000 0.250
H1 0.500 0.500 0.500
Ni1 0.500 0.500 0.000

Output
* space-group type: No. 123
* ΔE to the lowest computed polymorph: 0 meV per atom
* energy: -18.7 eV per cell

[5]
Below is a relaxed structure of ErNi6H8, with properties calculated at the PBE level.

Lattice parameters (Å, degrees): 4.893 4.893 4.893 97.98 97.98 97.98
Atoms (fractional coordinates):
Ni1 0.593 0.145 0.325
Ni2 0.855 0.675 0.407
Ni3 0.407 0.855 0.675
Ni4 0.325 0.593 0.145
Ni5 0.675 0.407 0.855
H1 0.368 0.179 0.792
H2 0.179 0.792 0.368
Ni6 0.145 0.325 0.593
H3 0.311 0.311 0.311
H4 0.821 0.208 0.632
H5 0.689 0.689 0.689
Er1 0.000 0.000 0.000
H6 0.208 0.632 0.821
H7 0.632 0.821 0.208
H8 0.792 0.368 0.179

Output
* space-group type: No. 148
* energy: -68.3 eV per cell

[6]
Below is a relaxed structure of Er3Ni8H, with properties calculated at the PBE level.

Lattice parameters (Å, degrees): 4.976 4.976 8.569 73.12 73.12 60.00
Atoms (fractional coordinates):
Ni1 0.053 0.053 0.330
Er1 0.617 0.617 0.149
Ni2 0.805 0.805 0.584
Ni3 0.559 0.559 0.833
Ni4 0.049 0.559 0.833
Ni5 0.559 0.049 0.833
Er2 0.485 0.485 0.546
Ni6 0.053 0.564 0.330
H1 0.189 0.189 0.433
Er3 0.010 0.010 0.969
Ni7 0.564 0.053 0.330
Ni8 0.307 0.307 0.079

Output
* space-group type: No. 160
* energy: -67.6 eV per cell

[7]
Below is a relaxed structure of Er12Ni6H, with properties calculated at the PBE level.

Lattice parameters (Å, degrees): 7.703 7.703 7.703 96.64 96.64 96.64
Atoms (fractional coordinates):
Er1 0.436 0.811 0.589
Ni1 0.289 0.111 0.622
Er2 0.038 0.684 0.910
Er3 0.962 0.316 0.090
Er4 0.589 0.436 0.811
Er5 0.411 0.564 0.189
Ni2 0.111 0.622 0.289
Er6 0.910 0.038 0.684
Er7 0.189 0.411 0.564
Er8 0.090 0.962 0.316
Er9 0.811 0.589 0.436
Ni3 0.889 0.378 0.711
H1 0.000 0.000 0.000
Ni4 0.378 0.711 0.889
Ni5 0.711 0.889 0.378
Er10 0.316 0.090 0.962
Er11 0.684 0.910 0.038
Er12 0.564 0.189 0.411
Ni6 0.622 0.289 0.111

Output
* space-group type: No. 148
* energy: -96.9 eV per cell

[8]
Below is a relaxed structure of ErNi6H12, with properties calculated at the PBE level.

Lattice parameters (Å, degrees): 5.302 5.302 5.302 106.21 106.21 106.21
Atoms (fractional coordinates):
Ni1 0.226 0.226 0.623
H1 0.870 0.130 0.500
H2 0.552 0.552 0.804
H3 0.448 0.196 0.448
Ni2 0.774 0.377 0.774
H4 0.500 0.130 0.870
H5 0.870 0.500 0.130
H6 0.130 0.500 0.870
H7 0.130 0.870 0.500
Er1 0.000 0.000 0.000
H8 0.552 0.804 0.552
H9 0.196 0.448 0.448
H10 0.500 0.870 0.130
H11 0.804 0.552 0.552
Ni3 0.774 0.774 0.377
Ni4 0.226 0.623 0.226
Ni5 0.377 0.774 0.774
Ni6 0.623 0.226 0.226
H12 0.448 0.448 0.196

Output
* space-group type: No. 166
* energy: -80.2 eV per cell